DFT (PBE) results for Tb2GdAg4Sn4 after structural relaxation.

Computed properties:
total magnetization = 0.00 μB/f.u.
SG = Immm
total DFT energy (no corrections) = -4.256 eV per atom

a b c (Å): 8.803 8.803 8.803
angles (deg): 149.86 130.47 59.08
Fractional coordinates of all 11 atoms:
Tb: 0.128 0.128 0.000
Tb: 0.872 0.872 0.000
Gd: 0.500 0.000 0.500
Ag: 0.130 0.329 0.802
Ag: 0.473 0.671 0.802
Ag: 0.527 0.329 0.198
Ag: 0.870 0.671 0.198
Sn: 0.196 0.500 0.696
Sn: 0.285 0.785 0.500
Sn: 0.715 0.215 0.500
Sn: 0.804 0.500 0.304

DFT (PBE) results for MgNbTlSe3 after structural relaxation.

Computed properties:
total magnetization = 1.99 μB/f.u.
SG = Cmcm
total DFT energy (no corrections) = -4.744 eV per atom

a b c (Å): 7.678 7.678 10.419
angles (deg): 90.00 90.00 151.01
Fractional coordinates of all 12 atoms:
Mg: 0.049 0.951 0.750
Mg: 0.951 0.049 0.250
Nb: 0.500 0.500 0.000
Nb: 0.500 0.500 0.500
Tl: 0.243 0.757 0.250
Tl: 0.757 0.243 0.750
Se: 0.127 0.873 0.535
Se: 0.127 0.873 0.965
Se: 0.435 0.565 0.750
Se: 0.565 0.435 0.250
Se: 0.873 0.127 0.035
Se: 0.873 0.127 0.465